[1]
# Cs2InPdI6 (PBE, optimized geometry)
data_Cs2InPdI6
_chemical_formula_sum 'Cs2 In1 Pd1 I6'
_symmetry_space_group_name_H-M 'P 1'
_symmetry_Int_Tables_number 1
_cell_length_a 8.363
_cell_length_b 8.363
_cell_length_c 8.363
_cell_angle_alpha 119.99
_cell_angle_beta 119.99
_cell_angle_gamma 90.02
loop_
_symmetry_equiv_pos_as_xyz
'x,y,z'
loop_
_atom_site_label
_atom_site_type_symbol
_atom_site_fract_x
_atom_site_fract_y
_atom_site_fract_z
_atom_site_occupancy
Cs1 Cs 0.250 0.750 0.500 1
Cs2 Cs 0.750 0.250 0.500 1
In1 In 0.000 0.000 0.000 1
Pd1 Pd 0.500 0.500 0.000 1
I1 I 0.259 0.259 0.000 1
I2 I 0.261 0.261 0.521 1
I3 I 0.261 0.739 0.000 1
I4 I 0.739 0.261 0.000 1
I5 I 0.739 0.739 0.479 1
I6 I 0.741 0.741 0.000 1
# - energy relative to the elements, uncorrected (meV/atom) = -822
# - space group = No. 139



[2]
# NbNiH2 (PBE, optimized geometry)
data_NbNiH2
_chemical_formula_sum 'Nb3 Ni3 H6'
_symmetry_space_group_name_H-M 'P 1'
_symmetry_Int_Tables_number 1
_cell_length_a 2.862
_cell_length_b 2.862
_cell_length_c 14.741
_cell_angle_alpha 90.00
_cell_angle_beta 90.00
_cell_angle_gamma 120.00
loop_
_symmetry_equiv_pos_as_xyz
'x,y,z'
loop_
_atom_site_label
_atom_site_type_symbol
_atom_site_fract_x
_atom_site_fract_y
_atom_site_fract_z
_atom_site_occupancy
Nb1 Nb 0.000 0.000 0.000 1
Nb2 Nb 0.333 0.667 0.667 1
Nb3 Nb 0.667 0.333 0.333 1
Ni1 Ni 0.000 0.000 0.177 1
Ni2 Ni 0.333 0.667 0.844 1
Ni3 Ni 0.667 0.333 0.510 1
H1 H 0.000 0.000 0.574 1
H2 H 0.000 0.000 0.765 1
H3 H 0.333 0.667 0.241 1
H4 H 0.333 0.667 0.432 1
H5 H 0.667 0.333 0.098 1
H6 H 0.667 0.333 0.908 1
# - space group = No. 160
# - relative energy among the computed polymorphs (meV per atom) = 210



[3]
# CsPm2Br6 (PBE, optimized geometry)
data_CsPm2Br6
_chemical_formula_sum 'Cs1 Pm2 Br6'
_symmetry_space_group_name_H-M 'P 1'
_symmetry_Int_Tables_number 1
_cell_length_a 7.402
_cell_length_b 7.402
_cell_length_c 8.494
_cell_angle_alpha 90.00
_cell_angle_beta 90.00
_cell_angle_gamma 120.00
loop_
_symmetry_equiv_pos_as_xyz
'x,y,z'
loop_
_atom_site_label
_atom_site_type_symbol
_atom_site_fract_x
_atom_site_fract_y
_atom_site_fract_z
_atom_site_occupancy
Cs1 Cs 0.000 0.000 0.000 1
Pm1 Pm 0.333 0.667 0.500 1
Pm2 Pm 0.667 0.333 0.500 1
Br1 Br 0.000 0.363 0.704 1
Br2 Br 0.000 0.637 0.296 1
Br3 Br 0.363 0.000 0.704 1
Br4 Br 0.363 0.363 0.296 1
Br5 Br 0.637 0.000 0.296 1
Br6 Br 0.637 0.637 0.704 1
# - energy relative to the elements, uncorrected (meV/atom) = -1775
# - space group = No. 162



[4]
# TbSmErHg (PBE, optimized geometry)
data_TbSmErHg
_chemical_formula_sum 'Tb4 Sm4 Er4 Hg4'
_symmetry_space_group_name_H-M 'P 1'
_symmetry_Int_Tables_number 1
_cell_length_a 7.683
_cell_length_b 7.683
_cell_length_c 7.683
_cell_angle_alpha 90.00
_cell_angle_beta 90.00
_cell_angle_gamma 90.00
loop_
_symmetry_equiv_pos_as_xyz
'x,y,z'
loop_
_atom_site_label
_atom_site_type_symbol
_atom_site_fract_x
_atom_site_fract_y
_atom_site_fract_z
_atom_site_occupancy
Tb1 Tb 0.000 0.000 0.000 1
Tb2 Tb 0.000 0.500 0.500 1
Tb3 Tb 0.500 0.000 0.500 1
Tb4 Tb 0.500 0.500 0.000 1
Sm1 Sm 0.000 0.000 0.500 1
Sm2 Sm 0.000 0.500 0.000 1
Sm3 Sm 0.500 0.000 0.000 1
Sm4 Sm 0.500 0.500 0.500 1
Er1 Er 0.250 0.250 0.250 1
Er2 Er 0.250 0.750 0.750 1
Er3 Er 0.750 0.250 0.750 1
Er4 Er 0.750 0.750 0.250 1
Hg1 Hg 0.250 0.250 0.750 1
Hg2 Hg 0.250 0.750 0.250 1
Hg3 Hg 0.750 0.250 0.250 1
Hg4 Hg 0.750 0.750 0.750 1
# - space group = No. 216
# - calculated formation energy (eV per atom) = -0.0644